# 1
# VPPdO2

VPPdO2 after structural relaxation (GGA+U, Alexandria via LeMat-Bulk).

```
VPPdO2
1.0
-3.425 0.694 0.932
-0.308 -3.340 1.352
1.678 1.799 4.826
V P O Pd
1 1 2 1
Cartesian
0.000 0.000 0.000 V
0.839 0.900 2.413 P
-0.154 -1.670 0.676 O
-1.713 0.347 0.466 O
-1.028 -0.424 3.556 Pd
```

Properties
For the density of states at the Fermi level, the calculation gives 4.92 states/eV/cell. The uncorrected energy is -6.251 eV/atom.



# 2
# MoIO2

MoIO2 after structural relaxation (GGA+U, Alexandria via LeMat-Bulk).

```
MoIO2
1.0
-1.226 3.815 -4.751
-6.059 -0.249 1.363
-3.186 5.248 0.970
Mo O I
2 4 2
Cartesian
-3.642 1.783 -1.694 Mo
-6.444 3.391 0.319 Mo
-7.248 7.119 -2.578 O
-5.043 2.587 -0.688 O
-6.636 5.211 -0.202 O
-2.013 2.711 -1.369 O
0.000 0.000 0.000 I
-4.027 5.423 -2.738 I
```

Properties
For the density of states at the Fermi level, the calculation gives 7.30 states/eV/cell. The uncorrected energy is -5.505 eV/atom.